# 1
An optimized crystal structure of Li4YBr, computed with GGA-PBEsol. Values from VASP.

## Properties
Symmetry: F-43m (216)
Formation energy from raw total energies (eV/atom): 0.010

```
&SYSTEM
  ibrav = 0, nat = 6, ntyp = 3
/
ATOMIC_SPECIES
Li 6.94 Li.upf
Br 79.90 Br.upf
Y 88.91 Y.upf
CELL_PARAMETERS angstrom
-1.7172 4.0106 -3.7553
-5.3041 2.2059 0.3694
-0.7410 5.4384 1.7351
ATOMIC_POSITIONS angstrom
Li -3.2823 7.0879 0.2469
Li -2.9123 4.3728 -0.6194
Li -3.7697 6.3750 -2.4942
Li -5.5604 5.4740 -0.4349
Br 0.0000 0.0000 0.0000
Y -5.8218 8.7411 -1.2381
```

# 2
An optimized crystal structure of Rb2MgBeAs, computed with GGA-PBEsol. Values from VASP.

## Properties
Symmetry: P4/mmm (123)
E_form (eV/f.u.): 3.40

```
&SYSTEM
  ibrav = 0, nat = 5, ntyp = 4
/
ATOMIC_SPECIES
Be 9.01 Be.upf
As 74.92 As.upf
Mg 24.30 Mg.upf
Rb 85.47 Rb.upf
CELL_PARAMETERS angstrom
-4.5447 1.8803 0.5973
-0.8695 -3.5763 4.6423
2.1929 4.1535 3.6105
ATOMIC_POSITIONS angstrom
Be 0.0000 0.0000 0.0000
As -1.6107 1.2287 4.4250
Mg -2.2724 0.9401 0.2986
Rb 1.0965 2.0768 1.8053
Rb -0.4348 -1.7882 2.3211
```

# 3
An optimized crystal structure of K7TaAs4, computed with GGA-PBEsol. Values from VASP.

## Properties
Symmetry: Pmn2_1 (31)
E_form (eV/f.u.): -5.35

```
&SYSTEM
  ibrav = 0, nat = 24, ntyp = 3
/
ATOMIC_SPECIES
K 39.10 K.upf
As 74.92 As.upf
Ta 180.95 Ta.upf
CELL_PARAMETERS angstrom
-4.1149 -5.4091 -4.6615
1.6873 -6.5322 6.0904
-8.5743 2.3258 4.8700
ATOMIC_POSITIONS angstrom
K -7.1621 -5.5947 0.6005
K -0.2788 -6.1385 2.4407
K -7.0603 -1.0016 3.1368
K -3.7043 -9.2293 2.4364
K -8.5624 -4.5926 3.7593
K -3.3578 -2.0059 1.0339
K -2.1011 -3.5027 4.0763
K -2.3290 -3.9351 -2.2213
K -6.8049 -2.4738 -0.2610
K -5.7100 -2.5238 6.1261
K -3.5970 -5.9395 0.9391
K 1.1009 -6.9761 5.2698
K -8.5761 -7.9078 5.2034
K -3.2083 -5.2957 7.4189
As -2.8360 -6.7859 4.4790
As -6.3403 -5.8354 6.4694
As -5.3293 -3.7987 2.9696
As -0.7027 -3.6907 0.5254
As -6.4270 -7.6334 2.8683
As -5.1530 -5.6676 -2.0586
As -10.2228 -4.2924 0.8209
As -2.7975 -8.8360 -0.7055
Ta 0.5466 -2.1197 1.9746
Ta -5.2053 -5.9561 4.2183
```

# 4
An optimized crystal structure of HoMo6S8, computed with GGA-PBEsol. Values from VASP.

## Properties
Symmetry: R-3 (148)
Formation energy from raw total energies (eV/atom): -0.995

```
&SYSTEM
  ibrav = 0, nat = 15, ntyp = 3
/
ATOMIC_SPECIES
Mo 95.94 Mo.upf
Ho 164.93 Ho.upf
S 32.06 S.upf
CELL_PARAMETERS angstrom
6.3777 0.0215 0.0213
0.0918 6.3771 0.0213
0.0918 0.0908 6.3765
ATOMIC_POSITIONS angstrom
Mo 5.0645 2.8687 3.7230
Mo 3.8095 5.0228 2.8280
Mo 3.6369 2.7118 1.4273
Mo 1.4968 3.6207 2.6961
Mo 2.9243 3.7776 4.9917
Mo 2.7517 1.4666 3.5911
Ho 0.0000 0.0000 0.0000
S 1.5599 1.5428 1.5261
S 0.9158 2.4251 4.8361
S 5.0013 4.9466 4.8930
S 4.8720 0.8621 2.3722
S 1.6893 5.6272 4.0468
S 5.6455 4.0643 1.5830
S 2.4350 4.8455 0.8363
S 4.1263 1.6439 5.5828
```

# 5
An optimized crystal structure of Ca2Rh, computed with GGA-PBEsol. Values from VASP.

## Properties
Symmetry: Fm-3m (225)
E_form (eV/f.u.): -0.51

```
&SYSTEM
  ibrav = 0, nat = 3, ntyp = 2
/
ATOMIC_SPECIES
Ca 40.08 Ca.upf
Rh 102.91 Rh.upf
CELL_PARAMETERS angstrom
-1.6638 -4.5003 -0.2931
2.1023 -3.5089 2.5249
-2.2841 -1.9667 3.7446
ATOMIC_POSITIONS angstrom
Ca -1.3842 -7.4820 4.4823
Ca -0.4614 -2.4940 1.4941
Rh 0.0000 0.0000 0.0000
```

# 6
An optimized crystal structure of LiLaTa2, computed with GGA-PBEsol. Values from VASP.

## Properties
Symmetry: C2/m (12)
E_form (eV/f.u.): 2.03
Distance to the lowest polymorph of the same formula (kJ/mol of formula units): 63

```
&SYSTEM
  ibrav = 0, nat = 4, ntyp = 3
/
ATOMIC_SPECIES
Ta 180.95 Ta.upf
La 138.91 La.upf
Li 6.94 Li.upf
CELL_PARAMETERS angstrom
-0.9314 2.7793 -0.5902
-1.8427 0.3773 4.6851
5.3884 0.4132 1.0167
ATOMIC_POSITIONS angstrom
Ta 0.4929 2.5079 3.4581
Ta 2.1215 1.0620 1.6535
La -0.4657 1.3897 -0.2951
Li -0.9213 0.1887 2.3425
```

# 7
An optimized crystal structure of YTl3Co, computed with GGA-PBEsol. Values from VASP.

## Properties
Symmetry: Pm-3m (221)
E_form (eV/f.u.): 0.63

```
&SYSTEM
  ibrav = 0, nat = 5, ntyp = 3
/
ATOMIC_SPECIES
Tl 204.38 Tl.upf
Y 88.91 Y.upf
Co 58.93 Co.upf
CELL_PARAMETERS angstrom
-0.4881 0.6337 -4.8504
-1.8845 -4.5226 -0.4013
-4.5141 1.8195 0.6920
ATOMIC_POSITIONS angstrom
Tl -0.9423 -2.2613 -0.2006
Tl -0.2440 0.3169 -2.4252
Tl -2.2570 0.9098 0.3460
Y -3.4433 -1.0347 -2.2799
Co 0.0000 0.0000 0.0000
```

# 8
An optimized crystal structure of Li3H6Rh, computed with GGA-PBEsol. Values from VASP.

## Properties
Symmetry: Pnma (62)
Uncorrected energy (eV per atom): -3.82

```
&SYSTEM
  ibrav = 0, nat = 40, ntyp = 3
/
ATOMIC_SPECIES
Li 6.94 Li.upf
H 1.01 H.upf
Rh 102.91 Rh.upf
CELL_PARAMETERS angstrom
-3.3330 1.0576 -3.0951
1.8962 -6.8170 -4.3713
-5.6060 -4.4544 4.5149
ATOMIC_POSITIONS angstrom
Li -2.8211 -1.6772 0.7034
Li -6.5075 -6.1909 -0.3920
Li -3.3856 -2.2129 -2.3945
Li -2.4199 -5.6074 -4.5944
Li -7.7702 -4.2451 1.6326
Li -3.6573 -8.0009 -0.5569
Li -2.7401 -4.5620 -0.3695
Li 0.7273 -5.9687 -4.5841
Li -4.6230 -4.6064 1.6429
Li -4.2218 -8.5366 -3.6549
Li -0.5354 -4.0229 -2.5595
Li -4.3028 -5.6518 -2.5820
H -1.1970 -1.9733 -2.9104
H -4.7003 -5.1847 -0.2714
H -5.8459 -8.2405 -0.0411
H -2.8060 -6.4167 -0.9323
H -1.1550 -5.5102 -5.9232
H -0.7126 -5.5464 -1.1664
H -5.3440 -7.0674 -1.9444
H -2.3426 -5.0292 -2.6801
H -0.5820 -6.4208 -3.3287
H -4.1815 -8.7686 1.5044
H -0.7967 -1.4514 0.3235
H -1.6988 -3.1464 -1.0071
H -6.4609 -3.7930 0.3772
H -5.8878 -4.7036 2.9717
H -6.3303 -4.6674 -1.7851
H -4.2369 -3.7971 -2.0192
H -6.2461 -8.7624 -3.2750
H -4.6161 -9.2796 -1.7613
H -2.6826 -7.3155 -3.1360
H -2.6959 -3.4264 1.7301
H -4.3470 -6.7874 -4.6816
H -2.8613 -1.4452 -4.4559
H -4.3603 -2.8983 0.1845
H -2.4268 -0.9342 -1.1902
Rh -0.9787 -1.7156 -1.2937
Rh -5.3496 -3.7687 -0.8112
Rh -6.0641 -8.4982 -1.6578
Rh -1.6933 -6.4452 -2.1403
```

# 9
An optimized crystal structure of TeAu2Br, computed with GGA-PBEsol. Values from VASP.

## Properties
Symmetry: I4/mmm (139)
Formation energy from raw total energies (eV/atom): 0.349
Distance to the lowest polymorph of the same formula (kJ/mol of formula units): 115

```
&SYSTEM
  ibrav = 0, nat = 4, ntyp = 3
/
ATOMIC_SPECIES
Au 196.97 Au.upf
Te 127.60 Te.upf
Br 79.90 Br.upf
CELL_PARAMETERS angstrom
4.8416 0.0384 0.0000
-1.5702 4.5801 0.0000
-1.6357 -2.3092 3.9287
ATOMIC_POSITIONS angstrom
Au 2.4208 0.0192 1.9643
Au -0.7851 2.2900 1.9643
Te 1.6357 2.3092 0.0000
Br 0.0000 0.0000 0.0000
```

# 10
An optimized crystal structure of SrSb2Pb, computed with GGA-PBEsol. Values from VASP.

## Properties
Symmetry: P4mm (99)
Formation energy from raw total energies (eV/atom): -0.417

```
&SYSTEM
  ibrav = 0, nat = 4, ntyp = 3
/
ATOMIC_SPECIES
Sb 121.76 Sb.upf
Sr 87.62 Sr.upf
Pb 207.20 Pb.upf
CELL_PARAMETERS angstrom
-0.6019 -1.1610 3.1906
5.7811 -0.1367 1.0428
-0.2246 5.5308 1.9702
ATOMIC_POSITIONS angstrom
Sb 0.1875 -1.0514 2.9731
Sb 2.9634 1.6456 4.4793
Sr 3.3821 -0.5332 1.8823
Pb 0.4092 2.3623 2.1762
```

# 11
An optimized crystal structure of MnZn2Ir, computed with GGA-PBEsol. Values from VASP.

## Properties
Symmetry: Pmmm (47)
E_form (eV/f.u.): -0.24

```
&SYSTEM
  ibrav = 0, nat = 4, ntyp = 3
/
ATOMIC_SPECIES
Zn 65.41 Zn.upf
Ir 192.22 Ir.upf
Mn 54.94 Mn.upf
CELL_PARAMETERS angstrom
2.9987 0.0000 0.0000
0.0000 4.2027 0.0000
0.0000 0.0000 4.2375
ATOMIC_POSITIONS angstrom
Zn 1.4993 0.0000 2.1188
Zn 0.0000 0.0000 0.0000
Ir 1.4993 2.1014 0.0000
Mn 0.0000 2.1014 2.1188
```

# 12
An optimized crystal structure of TeMo2Cl, computed with GGA-PBEsol. Values from VASP.

## Properties
Symmetry: Cmmm (65)
Formation energy from raw total energies (eV/atom): 0.764

```
&SYSTEM
  ibrav = 0, nat = 4, ntyp = 3
/
ATOMIC_SPECIES
Te 127.60 Te.upf
Mo 95.94 Mo.upf
Cl 35.45 Cl.upf
CELL_PARAMETERS angstrom
-1.7041 -1.3744 2.1966
-0.7827 -0.3345 -3.0058
4.8560 -6.8277 -0.5047
ATOMIC_POSITIONS angstrom
Te 1.5759 -4.1010 0.8460
Mo 3.6695 -5.1594 -0.3814
Mo 1.1865 -1.6683 -0.1233
Cl -0.8521 -0.6872 1.0983
```

# 13
An optimized crystal structure of Sm6CdGe2S14, computed with GGA-PBEsol. Values from VASP.

## Properties
Symmetry: P3 (143)
Formation energy from raw total energies (eV/atom): -1.556

```
&SYSTEM
  ibrav = 0, nat = 23, ntyp = 4
/
ATOMIC_SPECIES
Cd 112.41 Cd.upf
Sm 150.36 Sm.upf
S 32.06 S.upf
Ge 72.64 Ge.upf
CELL_PARAMETERS angstrom
-2.4841 -2.9216 4.1892
8.9698 -2.9136 3.2868
-4.0880 8.4316 3.4562
ATOMIC_POSITIONS angstrom
Cd -1.2072 -1.4199 2.0359
Sm 3.6767 2.4554 5.7770
Sm 6.2737 -1.3191 4.6845
Sm -1.2685 0.1611 5.1304
Sm 0.3351 3.2862 8.2608
Sm -3.8576 3.9338 6.2263
Sm 2.0773 -0.6770 2.6441
S 0.4892 -0.8746 7.2711
S 3.6443 -1.4319 8.7533
S 2.3710 -3.7301 6.3955
S -2.4333 2.6360 4.1736
S 5.6371 -3.3614 6.5811
S -2.0910 1.8793 7.3723
S 3.5192 -0.4232 5.1950
S 2.3510 4.8071 6.5474
S -0.1474 1.0212 2.4256
S -3.1528 6.0714 4.1655
S -1.1564 4.9367 6.5352
S 0.1462 -2.0725 4.2240
S 2.6649 1.6834 8.3370
S 0.7269 2.0762 5.6570
Ge -0.5612 3.6786 4.7924
Ge 2.5670 -1.5431 6.8007
```

# 14
An optimized crystal structure of SrMnW2, computed with GGA-PBEsol. Values from VASP.

## Properties
Symmetry: I4/mmm (139)
E_form (eV/f.u.): 5.35

```
&SYSTEM
  ibrav = 0, nat = 4, ntyp = 3
/
ATOMIC_SPECIES
W 183.84 W.upf
Sr 87.62 Sr.upf
Mn 54.94 Mn.upf
CELL_PARAMETERS angstrom
3.8714 0.0000 0.0000
0.0000 3.8714 0.0000
-1.9357 -1.9357 4.8865
ATOMIC_POSITIONS angstrom
W 0.0000 1.9357 2.4432
W 1.9357 0.0000 2.4432
Sr 0.0000 0.0000 0.0000
Mn 1.9357 1.9357 0.0000
```

# 15
An optimized crystal structure of CaMgTa2, computed with GGA-PBEsol. Values from VASP.

## Properties
Symmetry: Pmmm (47)
E_form (eV/f.u.): 2.71

```
&SYSTEM
  ibrav = 0, nat = 4, ntyp = 3
/
ATOMIC_SPECIES
Mg 24.30 Mg.upf
Ta 180.95 Ta.upf
Ca 40.08 Ca.upf
CELL_PARAMETERS angstrom
-1.4409 1.4100 -1.8963
0.2546 -3.9714 -3.1464
-4.9662 -2.0816 2.2256
ATOMIC_POSITIONS angstrom
Mg -3.0762 -2.3215 -1.4086
Ta -3.7197 -1.5592 1.6670
Ta -1.2464 -0.5225 0.5586
Ca -0.5931 -1.2807 -2.5214
```

# 16
An optimized crystal structure of CdCo2Ni, computed with GGA-PBEsol. Values from VASP.

## Properties
Symmetry: I-4m2 (119)
E_form (eV/f.u.): 1.11
Distance to the lowest polymorph of the same formula (kJ/mol of formula units): 6

```
&SYSTEM
  ibrav = 0, nat = 4, ntyp = 3
/
ATOMIC_SPECIES
Cd 112.41 Cd.upf
Co 58.93 Co.upf
Ni 58.69 Ni.upf
CELL_PARAMETERS angstrom
-2.0926 2.9404 0.9233
-2.4641 -0.9260 -2.6359
0.5009 -3.0154 3.2235
ATOMIC_POSITIONS angstrom
Cd -2.1208 -1.4671 -0.1344
Co 0.0000 0.0000 0.0000
Co -1.9350 0.4661 1.6452
Ni -2.2784 1.0072 -0.8563
```

# 17
An optimized crystal structure of FeTcW2, computed with GGA-PBEsol. Values from VASP.

## Properties
Symmetry: R-3m (166)
E_form (eV/f.u.): 1.29
Distance to the lowest polymorph of the same formula (kJ/mol of formula units): 76

```
&SYSTEM
  ibrav = 0, nat = 4, ntyp = 3
/
ATOMIC_SPECIES
W 183.84 W.upf
Fe 55.84 Fe.upf
Tc 98.00 Tc.upf
CELL_PARAMETERS angstrom
2.7422 0.0000 0.0000
1.3711 2.3748 0.0000
1.3711 0.7916 8.7146
ATOMIC_POSITIONS angstrom
W 1.3711 0.7916 2.2707
W 4.1133 2.3748 6.4438
Fe 2.7422 1.5832 4.3573
Tc 0.0000 0.0000 0.0000
```

# 18
An optimized crystal structure of FePtRh, computed with GGA-PBEsol. Values from VASP.

## Properties
Symmetry: Imm2 (44)
E_form (eV/f.u.): -0.19
Distance to the lowest polymorph of the same formula (kJ/mol of formula units): 5

```
&SYSTEM
  ibrav = 0, nat = 3, ntyp = 3
/
ATOMIC_SPECIES
Pt 195.08 Pt.upf
Rh 102.91 Rh.upf
Fe 55.84 Fe.upf
CELL_PARAMETERS angstrom
2.6763 0.0000 0.0000
0.0000 3.6765 0.0000
-1.3381 -1.8383 4.0692
ATOMIC_POSITIONS angstrom
Pt 1.3381 1.8383 1.3309
Rh 0.0000 0.0000 2.7592
Fe 1.3381 1.8383 4.0484
```

# 19
An optimized crystal structure of AlFeCl2, computed with GGA-PBEsol. Values from VASP.

## Properties
Symmetry: Cm (8)
Formation energy from raw total energies (eV/atom): -0.269
Distance to the lowest polymorph of the same formula (kJ/mol of formula units): 7

```
&SYSTEM
  ibrav = 0, nat = 4, ntyp = 3
/
ATOMIC_SPECIES
Cl 35.45 Cl.upf
Fe 55.84 Fe.upf
Al 26.98 Al.upf
CELL_PARAMETERS angstrom
3.0376 0.0000 0.0000
-1.5188 4.5298 -0.0221
0.0000 -2.4779 6.0430
ATOMIC_POSITIONS angstrom
Cl 0.0000 0.0276 0.6451
Cl 0.0000 0.0320 3.9664
Fe 1.5188 -0.9079 2.5064
Al 1.5188 1.6611 1.9246
```

# 20
An optimized crystal structure of TmOs2, computed with GGA-PBEsol. Values from VASP.

## Properties
Symmetry: P6_3/mmc (194)
E_form (eV/f.u.): -1.07

```
&SYSTEM
  ibrav = 0, nat = 12, ntyp = 2
/
ATOMIC_SPECIES
Tm 168.93 Tm.upf
Os 190.23 Os.upf
CELL_PARAMETERS angstrom
-2.2949 -3.0355 3.5782
3.4109 -2.0633 -3.3754
6.5059 1.6455 5.5685
ATOMIC_POSITIONS angstrom
Tm 3.2860 -1.7810 4.4093
Tm 4.3358 -1.6724 1.3620
Tm 1.9350 -2.2796 -0.6928
Tm 5.6868 -1.1738 6.4642
Os 6.1977 -2.4686 3.7303
Os 1.4241 -0.9847 2.0411
Os 0.0000 0.0000 0.0000
Os 7.3110 -0.9961 1.9944
Os 0.3108 -2.4573 3.7769
Os 5.6564 0.0049 3.6319
Os 1.9655 -3.4582 2.1395
Os 3.2529 0.8227 2.7842
```

# 21
An optimized crystal structure of MgAlIn2, computed with GGA-PBEsol. Values from VASP.

## Properties
Symmetry: P4mm (99)
E_form (eV/f.u.): 0.12

```
&SYSTEM
  ibrav = 0, nat = 4, ntyp = 3
/
ATOMIC_SPECIES
Al 26.98 Al.upf
In 114.82 In.upf
Mg 24.30 Mg.upf
CELL_PARAMETERS angstrom
-2.7694 -1.4986 0.1399
1.2089 -2.3900 -1.6618
2.5268 -3.9651 7.5407
ATOMIC_POSITIONS angstrom
Al -0.1159 -2.9867 1.2216
In 0.0432 -0.0678 0.1289
In 1.0782 -4.8607 4.7854
Mg 1.2242 -1.9210 3.6534
```

# 22
An optimized crystal structure of CsRb2RhF6, computed with GGA-PBEsol. Values from VASP.

## Properties
Symmetry: Fm-3m (225)
Formation energy from raw total energies (eV/atom): -2.311

```
&SYSTEM
  ibrav = 0, nat = 10, ntyp = 4
/
ATOMIC_SPECIES
Rh 102.91 Rh.upf
F 19.00 F.upf
Rb 85.47 Rb.upf
Cs 132.91 Cs.upf
CELL_PARAMETERS angstrom
6.5997 0.0000 0.0000
3.2999 5.7155 0.0000
3.2999 1.9052 5.3887
ATOMIC_POSITIONS angstrom
Rh 0.0000 0.0000 0.0000
F 4.6957 4.9097 1.1397
F 6.5997 1.6117 1.1397
F 4.6957 2.7110 4.2490
F 8.5038 2.7110 4.2490
F 8.5038 4.9097 1.1397
F 6.5997 6.0090 4.2490
Rb 9.8996 5.7155 4.0415
Rb 3.2999 1.9052 1.3472
Cs 6.5997 3.8104 2.6943
```

# 23
An optimized crystal structure of LuScZn2, computed with GGA-PBEsol. Values from VASP.

## Properties
Symmetry: Fm-3m (225)
E_form (eV/f.u.): -1.47

```
&SYSTEM
  ibrav = 0, nat = 4, ntyp = 3
/
ATOMIC_SPECIES
Zn 65.41 Zn.upf
Lu 174.97 Lu.upf
Sc 44.96 Sc.upf
CELL_PARAMETERS angstrom
4.7597 0.0000 0.0000
2.3799 4.1221 0.0000
2.3799 1.3740 3.8863
ATOMIC_POSITIONS angstrom
Zn 7.1396 4.1221 2.9147
Zn 2.3799 1.3740 0.9716
Lu 4.7597 2.7480 1.9432
Sc 0.0000 0.0000 0.0000
```

# 24
An optimized crystal structure of MgAlAg2, computed with GGA-PBEsol. Values from VASP.

## Properties
Symmetry: I-4m2 (119)
E_form (eV/f.u.): -0.55
Distance to the lowest polymorph of the same formula (kJ/mol of formula units): 25

```
&SYSTEM
  ibrav = 0, nat = 4, ntyp = 3
/
ATOMIC_SPECIES
Ag 107.87 Ag.upf
Mg 24.30 Mg.upf
Al 26.98 Al.upf
CELL_PARAMETERS angstrom
3.9784 0.0000 0.0000
0.0000 3.9784 0.0000
-1.9892 -1.9892 4.2403
ATOMIC_POSITIONS angstrom
Ag 1.9892 0.0000 2.1202
Ag 0.0000 0.0000 0.0000
Mg 0.0000 1.9892 2.1202
Al 1.9892 1.9892 0.0000
```